Entry 1:
Crystalline LaAgIr at its relaxed geometry. Source: the Alexandria database, functional GGA-PBEsol.

Structure (POSCAR):
```
LaAgIr
1.0
6.593 0.000 0.000
0.000 6.593 0.000
0.000 0.000 6.593
La Ag Ir
4 4 4
direct
0.000 0.000 0.000
0.000 0.500 0.500
0.500 0.000 0.500
0.500 0.500 0.000
0.000 0.000 0.500
0.000 0.500 0.000
0.500 0.000 0.000
0.500 0.500 0.500
0.250 0.250 0.250
0.250 0.750 0.750
0.750 0.250 0.750
0.750 0.750 0.250
```

Calculated values
* ΔH_f (0 K): -74 meV/atom
* space group: No. 216
* total moment: 0.000 μB/atom

Entry 2:
Crystalline La2AgHg at its relaxed geometry. Source: the Alexandria database, functional GGA-PBEsol.

Structure (POSCAR):
```
La2AgHg
1.0
3.921 0.000 0.000
0.000 4.954 0.000
0.000 0.000 10.825
La Ag Hg
4 2 2
direct
0.000 0.000 0.000
0.000 0.500 0.210
0.500 0.000 0.710
0.500 0.500 0.500
0.000 0.500 0.749
0.500 0.000 0.249
0.000 0.000 0.444
0.500 0.500 0.944
```

Calculated values
* ΔH_f (0 K): -328 meV/atom
* space group: No. 44
* total moment: 0.000 μB/atom

Entry 3:
Crystalline TlInP2S6 at its relaxed geometry. Source: the Alexandria database, functional GGA-PBEsol.

Structure (POSCAR):
```
TlInP2S6
1.0
6.476 0.000 0.000
0.000 9.478 0.000
-0.730 0.000 8.034
Tl In P S
2 2 4 12
direct
0.158 0.000 0.445
0.842 0.500 0.555
0.304 0.327 0.989
0.696 0.827 0.011
0.214 0.649 0.153
0.314 0.466 0.322
0.686 0.966 0.678
0.786 0.149 0.847
0.068 0.202 0.766
0.096 0.314 0.252
0.209 0.583 0.913
0.328 0.547 0.548
0.416 0.809 0.217
0.420 0.903 0.771
0.580 0.403 0.229
0.584 0.309 0.783
0.672 0.047 0.452
0.791 0.083 0.087
0.904 0.814 0.748
0.932 0.702 0.234
```

Calculated values
* DFT total energy: -4.681 eV/atom
* space group: No. 4
* total moment: 0.000 μB/atom

Entry 4:
Crystalline K2CoAs at its relaxed geometry. Source: the Alexandria database, functional GGA-PBEsol.

Structure (POSCAR):
```
K2CoAs
1.0
7.063 0.000 0.000
0.000 7.063 0.000
0.000 0.000 7.063
K Co As
8 4 4
direct
0.000 0.000 0.000
0.000 0.500 0.500
0.250 0.250 0.250
0.250 0.750 0.750
0.500 0.000 0.500
0.500 0.500 0.000
0.750 0.250 0.750
0.750 0.750 0.250
0.000 0.000 0.500
0.000 0.500 0.000
0.500 0.000 0.000
0.500 0.500 0.500
0.250 0.250 0.750
0.250 0.750 0.250
0.750 0.250 0.250
0.750 0.750 0.750
```

Calculated values
* ΔH_f (0 K): 501 meV/atom
* space group: No. 216
* total moment: 0.502 μB/atom

Entry 5:
Crystalline Mn3WC at its relaxed geometry. Source: the Alexandria database, functional GGA-PBEsol.

Structure (POSCAR):
```
Mn3WC
1.0
3.741 0.000 0.000
0.000 3.741 0.000
0.000 0.000 3.741
Mn W C
3 1 1
direct
0.000 0.000 0.500
0.000 0.500 0.000
0.500 0.000 0.000
0.500 0.500 0.500
0.000 0.000 0.000
```

Calculated values
* ΔH_f (0 K): -50 meV/atom
* energy relative to the lowest polymorph listed for this composition: 0 meV per atom
* space group: No. 221
* total moment: 0.000 μB/atom

Entry 6:
Crystalline Be2InAs at its relaxed geometry. Source: the Alexandria database, functional GGA-PBEsol.

Structure (POSCAR):
```
Be2InAs
1.0
3.537 0.000 0.000
-1.769 3.063 0.000
0.000 0.000 17.676
Be In As
6 3 3
direct
0.000 0.000 0.225
0.000 0.000 0.775
0.333 0.667 0.442
0.333 0.667 0.891
0.667 0.333 0.109
0.667 0.333 0.558
0.000 0.000 0.000
0.333 0.667 0.667
0.667 0.333 0.333
0.000 0.000 0.500
0.333 0.667 0.167
0.667 0.333 0.833
```

Calculated values
* ΔH_f (0 K): 240 meV/atom
* energy relative to the lowest polymorph listed for this composition: 0 meV per atom
* space group: No. 166
* total moment: 0.000 μB/atom

Entry 7:
Crystalline TbVSe2O8 at its relaxed geometry. Source: the Alexandria database, functional GGA-PBEsol.

Structure (POSCAR):
```
TbVSe2O8
1.0
6.616 0.000 0.000
0.000 6.941 0.000
-0.280 0.000 13.373
Tb V Se O
4 4 8 32
direct
0.079 0.250 0.065
0.365 0.750 0.135
0.635 0.250 0.865
0.921 0.750 0.935
0.375 0.010 0.617
0.375 0.490 0.617
0.625 0.510 0.383
0.625 0.990 0.383
0.045 0.250 0.348
0.116 0.250 0.838
0.196 0.750 0.407
0.449 0.750 0.862
0.551 0.250 0.138
0.804 0.250 0.593
0.884 0.750 0.162
0.955 0.750 0.652
0.020 0.750 0.774
0.025 0.576 0.098
0.025 0.924 0.098
0.090 0.552 0.607
0.090 0.948 0.607
0.198 0.750 0.281
0.285 0.750 0.961
0.303 0.250 0.574
0.316 0.250 0.921
0.357 0.553 0.435
0.357 0.947 0.435
0.377 0.073 0.106
0.377 0.427 0.106
0.417 0.062 0.734
0.417 0.438 0.734
0.420 0.750 0.617
0.580 0.250 0.383
0.583 0.562 0.266
0.583 0.938 0.266
0.623 0.573 0.894
0.623 0.927 0.894
0.643 0.053 0.565
0.643 0.447 0.565
0.684 0.750 0.079
0.697 0.750 0.426
0.715 0.250 0.039
0.802 0.250 0.719
0.910 0.052 0.393
0.910 0.448 0.393
0.975 0.076 0.902
0.975 0.424 0.902
0.980 0.250 0.226
```

Calculated values
* DFT total energy: -7.245 eV/atom
* space group: No. 11
* total moment: 0.000 μB/atom

Entry 8:
Crystalline ScReIr2 at its relaxed geometry. Source: the Alexandria database, functional GGA-PBEsol.

Structure (POSCAR):
```
ScReIr2
1.0
9.352 0.000 0.000
0.000 2.800 0.000
-0.816 0.000 4.649
Sc Re Ir
2 2 4
direct
0.000 0.000 0.000
0.500 0.500 0.000
0.273 0.500 0.325
0.773 0.000 0.325
0.011 0.500 0.493
0.248 0.000 0.808
0.511 0.000 0.493
0.748 0.500 0.808
```

Calculated values
* ΔH_f (0 K): -347 meV/atom
* energy relative to the lowest polymorph listed for this composition: 78 meV per atom
* space group: No. 8
* total moment: 0.000 μB/atom

Entry 9:
Crystalline RbSr2Ca at its relaxed geometry. Source: the Alexandria database, functional GGA-PBEsol.

Structure (POSCAR):
```
RbSr2Ca
1.0
9.514 0.000 0.000
0.000 9.514 0.000
0.000 0.000 9.514
Rb Sr Ca
4 8 4
direct
0.000 0.000 0.000
0.000 0.500 0.500
0.500 0.000 0.500
0.500 0.500 0.000
0.250 0.250 0.250
0.250 0.250 0.750
0.250 0.750 0.250
0.250 0.750 0.750
0.750 0.250 0.250
0.750 0.250 0.750
0.750 0.750 0.250
0.750 0.750 0.750
0.000 0.000 0.500
0.000 0.500 0.000
0.500 0.000 0.000
0.500 0.500 0.500
```

Calculated values
* ΔH_f (0 K): 153 meV/atom
* space group: No. 225
* total moment: 0.000 μB/atom

Entry 10:
Crystalline BaTeI3 at its relaxed geometry. Source: the Alexandria database, functional GGA-PBEsol.

Structure (POSCAR):
```
BaTeI3
1.0
6.124 0.000 0.000
0.000 6.124 0.000
0.000 0.000 6.124
Ba Te I
1 1 3
direct
0.000 0.000 0.000
0.500 0.500 0.500
0.000 0.500 0.500
0.500 0.000 0.500
0.500 0.500 0.000
```

Calculated values
* DFT total energy: -2.751 eV/atom
* space group: No. 221
* total moment: 0.000 μB/atom

Entry 11:
Crystalline ZrRh3S at its relaxed geometry. Source: the Alexandria database, functional GGA-PBEsol.

Structure (POSCAR):
```
ZrRh3S
1.0
4.687 0.000 0.000
0.000 4.687 0.000
0.000 0.000 4.687
Zr Rh S
1 3 1
direct
0.000 0.000 0.000
0.000 0.000 0.500
0.000 0.500 0.000
0.500 0.000 0.000
0.500 0.500 0.500
```

Calculated values
* DFT total energy: -6.256 eV/atom
* space group: No. 221
* total moment: 0.001 μB/atom

Entry 12:
Crystalline Zn2TcPt at its relaxed geometry. Source: the Alexandria database, functional GGA-PBEsol.

Structure (POSCAR):
```
Zn2TcPt
1.0
2.714 0.000 0.000
0.000 4.421 0.000
0.000 0.000 4.729
Zn Tc Pt
2 1 1
direct
0.000 0.000 0.000
0.500 0.000 0.500
0.000 0.500 0.500
0.500 0.500 0.000
```

Calculated values
* ΔH_f (0 K): -20 meV/atom
* space group: No. 47
* total moment: 0.002 μB/atom

Question: Which formula does entry 2 have?
Answer: La2AgHg

Question: Look up the total moment of the eighth one.
Answer: 0.000 μB/atom